(1)
Computed, not measured: an optimized crystal structure of Sr2Cd6In3 at the GGA-PBE level of DFT.

Lattice parameters (Å, degrees): 4.708 8.691 8.691 120.00 90.00 90.00
Fractional positions:
Cd (0.000, 0.805, 0.000)
Cd (0.500, 0.000, 0.281)
Cd (0.000, 0.195, 0.195)
Cd (0.000, 0.000, 0.805)
Cd (0.500, 0.281, 0.000)
Cd (0.500, 0.719, 0.719)
In (0.500, 0.000, 0.613)
In (0.500, 0.613, 0.000)
In (0.500, 0.387, 0.387)
Sr (0.000, 0.333, 0.667)
Sr (0.000, 0.667, 0.333)

Computed properties:
ΔH_f (0 K)   -236 meV/atom
Space-group type   P-62m, No. 189
N(E_F)   4.33 states/eV per cell
Total energy   -1.79 eV per atom

(2)
Computed, not measured: an optimized crystal structure of La3Si23 at the GGA-PBE level of DFT.

Lattice parameters (Å, degrees): 10.153 10.153 10.153 90.00 90.00 90.00
Fractional positions:
Si (0.250, 0.500, 0.000)
Si (0.308, 0.000, 0.119)
Si (0.500, 0.192, 0.619)
Si (0.316, 0.684, 0.316)
Si (0.000, 0.881, 0.692)
Si (0.000, 0.119, 0.308)
Si (0.000, 0.881, 0.308)
Si (0.816, 0.816, 0.816)
Si (0.684, 0.684, 0.684)
Si (0.184, 0.184, 0.184)
Si (0.184, 0.184, 0.816)
Si (0.881, 0.692, 0.000)
Si (0.192, 0.619, 0.500)
Si (0.308, 0.000, 0.881)
Si (0.316, 0.684, 0.684)
Si (0.500, 0.000, 0.250)
Si (0.808, 0.381, 0.500)
Si (0.119, 0.692, 0.000)
Si (0.192, 0.381, 0.500)
Si (0.000, 0.750, 0.500)
Si (0.684, 0.316, 0.316)
Si (0.381, 0.500, 0.808)
Si (0.381, 0.500, 0.192)
Si (0.619, 0.500, 0.192)
Si (0.881, 0.308, 0.000)
Si (0.816, 0.184, 0.816)
Si (0.808, 0.619, 0.500)
Si (0.500, 0.808, 0.619)
Si (0.316, 0.316, 0.316)
Si (0.184, 0.816, 0.184)
Si (0.684, 0.684, 0.316)
Si (0.684, 0.316, 0.684)
Si (0.619, 0.500, 0.808)
Si (0.316, 0.316, 0.684)
Si (0.692, 0.000, 0.881)
Si (0.500, 0.808, 0.381)
Si (0.184, 0.816, 0.816)
Si (0.000, 0.119, 0.692)
Si (0.816, 0.816, 0.184)
Si (0.119, 0.308, 0.000)
Si (0.816, 0.184, 0.184)
Si (0.500, 0.192, 0.381)
Si (0.500, 0.000, 0.750)
Si (0.692, 0.000, 0.119)
Si (0.750, 0.500, 0.000)
Si (0.000, 0.250, 0.500)
La (0.500, 0.250, 0.000)
La (0.250, 0.000, 0.500)
La (0.750, 0.000, 0.500)
La (0.500, 0.750, 0.000)
La (0.000, 0.500, 0.750)
La (0.000, 0.500, 0.250)

Computed properties:
Space-group type   Pm-3n, No. 223
N(E_F)   28.92 states/eV per cell
E_form (uncorrected)   -50 meV per atom
Total energy   -5.42 eV per atom

(3)
Computed, not measured: an optimized crystal structure of AlIn2Os at the GGA-PBE level of DFT.

Lattice parameters (Å, degrees): 3.053 3.053 8.420 90.00 90.00 90.00
Fractional positions:
Os (0.500, 0.500, 0.250)
Al (0.500, 0.500, 0.750)
In (0.000, 0.000, 0.467)
In (0.000, 0.000, 0.033)

Computed properties:
ΔH_f (0 K)   426 meV/atom
Space-group type   P4/mmm, No. 123
N(E_F)   2.69 states/eV per cell
Total energy   -4.69 eV per atom

(4)
Computed, not measured: an optimized crystal structure of InTcRh2 at the GGA-PBE level of DFT.

Lattice parameters (Å, degrees): 4.467 4.467 4.467 60.00 60.00 60.00
Fractional positions:
In (0.500, 0.500, 0.500)
Rh (0.000, 0.000, 0.000)
Rh (0.250, 0.250, 0.250)
Tc (0.750, 0.750, 0.750)

Computed properties:
ΔH_f (0 K)   136 meV/atom
Space-group type   F-43m, No. 216
N(E_F)   2.67 states/eV per cell
Total energy   -6.82 eV per atom

(5)
Computed, not measured: an optimized crystal structure of Er2Si2Tc2C at the GGA-PBE level of DFT.

Lattice parameters (Å, degrees): 3.979 5.825 5.920 71.94 70.36 70.03
Fractional positions:
Si (0.143, 0.400, 0.314)
Si (0.857, 0.600, 0.686)
Er (0.570, 0.158, 0.703)
Er (0.430, 0.842, 0.297)
Tc (0.793, 0.317, 0.096)
Tc (0.207, 0.683, 0.904)
C (0.000, 0.000, 0.000)

Computed properties:
Space-group type   C2/m, No. 12
N(E_F)   3.55 states/eV per cell
E_form (uncorrected)   -685 meV per atom
Total energy   -7.82 eV per atom

(6)
Computed, not measured: an optimized crystal structure of Re3Mo at the GGA-PBE level of DFT.

Lattice parameters (Å, degrees): 2.706 8.851 2.706 90.00 109.46 90.00
Fractional positions:
Re (0.000, 0.500, 0.000)
Re (0.500, 0.251, 0.500)
Re (0.500, 0.749, 0.500)
Mo (0.000, 0.000, 0.000)

Computed properties:
ΔH_f (0 K)   209 meV/atom
Space-group type   Cmmm, No. 65
N(E_F)   3.48 states/eV per cell
Total energy   -11.84 eV per atom
ΔE to the lowest computed polymorph   11.6 kJ per mole of atoms

(7)
Computed, not measured: an optimized crystal structure of ReAs2CSe at the GGA-PBE level of DFT.

Lattice parameters (Å, degrees): 4.833 4.833 4.830 90.00 90.00 90.00
Site moments in Bohr magnetons follow the coordinates.
Fractional positions:
As (0.000, 0.500, 0.000)  -0.15
As (0.500, 0.000, 0.000)  -0.15
C (0.500, 0.500, 0.500)  0.87
Re (0.000, 0.000, 0.000)  0.22
Se (0.000, 0.000, 0.500)  -0.13

Computed properties:
Space-group type   P4/mmm, No. 123
N(E_F)   4.28 states/eV per cell
E_form (uncorrected)   1815 meV per atom
Total energy   -5.08 eV per atom
ΔE to the lowest computed polymorph   36.9 kJ per mole of atoms